# Zr3CdC

Zr3CdC after structural relaxation (PBE-GGA, Alexandria via LeMat-Bulk).

Cell and atoms, written as POSCAR:
```
Zr3CdC
1.0
23.9657 0.0000 -2.8465
0.0000 5.9336 0.0000
-8.5702 0.0000 3.7780
C Zr Cd
4 12 4
Direct
0.5312 0.7444 0.6650 C
0.4688 0.2556 0.3350 C
0.9688 0.2444 0.8350 C
0.0312 0.7556 0.1650 C
0.2977 0.9190 0.9476 Zr
0.7023 0.0810 0.0524 Zr
0.2023 0.4190 0.5524 Zr
0.7977 0.5810 0.4476 Zr
0.3516 0.4285 0.2438 Zr
0.6484 0.5715 0.7562 Zr
0.1484 0.9285 0.2562 Zr
0.8516 0.0715 0.7438 Zr
0.4182 0.8790 0.5926 Zr
0.5818 0.1210 0.4074 Zr
0.0818 0.3790 0.9074 Zr
0.9182 0.6210 0.0926 Zr
0.0006 0.1662 0.4049 Cd
0.9994 0.8338 0.5951 Cd
0.4994 0.6662 0.0951 Cd
0.5006 0.3338 0.9049 Cd
```

## Properties
Energy above the lowest structure with this stoichiometry, meV/atom: 135
Size of the total moment, μB per formula unit: 0.0
Formation energy, eV per atom: -0.294